{
  "formula": "SnPd3Au2",
  "functional": "PBE-GGA",
  "state": "optimized geometry",
  "lattice_angstrom": [[2.815, -7.176, 0.000], [2.815, 7.176, 0.000], [0.000, 0.000, 5.267]],
  "species": ["Sn", "Sn", "Pd", "Pd", "Pd", "Pd", "Pd", "Pd", "Au", "Au", "Au", "Au"],
  "fractional_positions": [[0.164, 0.836, 0.750], [0.836, 0.164, 0.250], [0.070, 0.424, 0.750], [0.348, 0.652, 0.250], [0.424, 0.070, 0.250], [0.576, 0.930, 0.750], [0.652, 0.348, 0.750], [0.930, 0.576, 0.250], [0.251, 0.251, 0.000], [0.251, 0.251, 0.500], [0.749, 0.749, 0.000], [0.749, 0.749, 0.500]],
  "e_above_lowest_polymorph_mev_per_atom": 116.0,
  "final_energy_ev_per_atom": -4.54,
  "spacegroup": "Cmcm",
  "e_form_ev_per_atom": -0.1813,
  "m_tot_mub_per_atom": 0.00
}



{
  "formula": "In2FeAg",
  "functional": "PBE-GGA",
  "state": "optimized geometry",
  "lattice_angstrom": [[3.099, -4.000, 0.000], [3.099, 4.000, 0.000], [-0.010, 0.000, 3.029]],
  "species": ["In", "In", "Fe", "Ag"],
  "fractional_positions": [[0.000, 0.500, 0.000], [0.500, 0.000, 0.000], [0.000, 0.000, 0.500], [0.500, 0.500, 0.500]],
  "e_above_lowest_polymorph_mev_per_atom": 23.5,
  "final_energy_ev_per_atom": -3.97,
  "spacegroup": "C2/m",
  "e_form_ev_per_atom": 0.2280,
  "m_tot_mub_per_atom": 0.63
}



{
  "formula": "BaP2Ru2",
  "functional": "PBE-GGA",
  "state": "optimized geometry",
  "lattice_angstrom": [[-2.034, 2.034, 6.111], [2.034, -2.034, 6.111], [2.034, 2.034, -6.111]],
  "species": ["Ba", "P", "P", "Ru", "Ru"],
  "fractional_positions": [[0.000, 0.000, 0.000], [0.343, 0.343, 0.000], [0.657, 0.657, 0.000], [0.250, 0.750, 0.500], [0.750, 0.250, 0.500]],
  "final_energy_ev_per_atom": -7.20,
  "spacegroup": "I4/mmm",
  "e_form_ev_per_atom": -0.9423,
  "m_tot_mub_per_atom": 0.00
}



{
  "formula": "PuU2Ge",
  "functional": "PBE-GGA",
  "state": "optimized geometry",
  "lattice_angstrom": [[5.129, 0.000, 0.000], [0.000, 6.248, 0.000], [-2.937, 0.000, 10.398]],
  "species": ["Pu", "Pu", "Pu", "Pu", "U", "U", "U", "U", "U", "U", "U", "U", "Ge", "Ge", "Ge", "Ge"],
  "fractional_positions": [[0.173, 0.082, 0.121], [0.173, 0.918, 0.621], [0.827, 0.082, 0.379], [0.827, 0.918, 0.879], [0.143, 0.411, 0.606], [0.143, 0.589, 0.106], [0.433, 0.346, 0.383], [0.433, 0.654, 0.883], [0.567, 0.346, 0.117], [0.567, 0.654, 0.617], [0.857, 0.411, 0.894], [0.857, 0.589, 0.394], [0.323, 0.160, 0.862], [0.323, 0.840, 0.362], [0.677, 0.160, 0.638], [0.677, 0.840, 0.138]],
  "e_above_lowest_polymorph_mev_per_atom": 33.9,
  "final_energy_ev_per_atom": -10.51,
  "spacegroup": "P2/c",
  "e_form_ev_per_atom": -0.1320,
  "m_tot_mub_per_atom": 1.02
}



{
  "formula": "ErTmIrRu",
  "functional": "PBE-GGA",
  "state": "optimized geometry",
  "lattice_angstrom": [[0.000, 3.372, 3.372], [3.372, 0.000, 3.372], [3.372, 3.372, 0.000]],
  "species": ["Er", "Tm", "Ir", "Ru"],
  "fractional_positions": [[0.000, 0.000, 0.000], [0.500, 0.500, 0.500], [0.250, 0.250, 0.250], [0.750, 0.750, 0.750]],
  "final_energy_ev_per_atom": -7.49,
  "spacegroup": "F-43m",
  "e_form_ev_per_atom": -0.6985,
  "m_tot_mub_per_atom": 0.00
}



{
  "formula": "CaSi2Au",
  "functional": "PBE-GGA",
  "state": "optimized geometry",
  "lattice_angstrom": [[1.973, 1.139, 6.338], [-1.973, 1.139, 6.338], [0.000, -2.279, 6.338]],
  "species": ["Ca", "Si", "Si", "Au"],
  "fractional_positions": [[0.000, 0.000, 0.000], [0.489, 0.489, 0.489], [0.777, 0.777, 0.777], [0.230, 0.230, 0.230]],
  "final_energy_ev_per_atom": -4.27,
  "spacegroup": "R3m",
  "formation_energy_uncorrected_kj_per_mol_atoms": -22.8,
  "m_tot_mub_per_atom": 0.00
}



{
  "formula": "PmYHo2Tm2",
  "functional": "PBE-GGA",
  "state": "optimized geometry",
  "lattice_angstrom": [[6.916, 0.000, 0.000], [0.000, 9.715, 0.000], [0.000, 0.000, 5.597]],
  "species": ["Pm", "Pm", "Y", "Y", "Ho", "Ho", "Ho", "Ho", "Tm", "Tm", "Tm", "Tm"],
  "fractional_positions": [[0.000, 0.000, 0.000], [0.500, 0.500, 0.500], [0.000, 0.500, 0.500], [0.500, 0.000, 0.000], [0.249, 0.334, 0.000], [0.251, 0.834, 0.500], [0.749, 0.166, 0.500], [0.751, 0.666, 0.000], [0.249, 0.667, 0.000], [0.251, 0.167, 0.500], [0.749, 0.833, 0.500], [0.751, 0.333, 0.000]],
  "final_energy_ev_per_atom": -4.81,
  "spacegroup": "Pnnm",
  "e_form_ev_per_atom": 0.0740,
  "m_tot_mub_per_atom": 0.00
}



{
  "formula": "Li7Mg2Ag3",
  "functional": "PBE-GGA",
  "state": "optimized geometry",
  "lattice_angstrom": [[4.898, 0.000, 0.000], [0.000, 2.993, 0.000], [-0.426, 0.000, 14.967]],
  "species": ["Li", "Li", "Li", "Li", "Li", "Li", "Li", "Mg", "Mg", "Ag", "Ag", "Ag"],
  "fractional_positions": [[0.000, 0.000, 0.000], [0.127, 0.500, 0.842], [0.252, 0.500, 0.541], [0.384, 0.000, 0.155], [0.616, 0.000, 0.845], [0.748, 0.500, 0.459], [0.873, 0.500, 0.158], [0.241, 0.500, 0.332], [0.759, 0.500, 0.668], [0.260, 0.000, 0.696], [0.500, 0.500, 0.000], [0.740, 0.000, 0.304]],
  "final_energy_ev_per_atom": -2.21,
  "spacegroup": "P2/m",
  "e_form_ev_per_atom": -0.1108,
  "m_tot_mub_per_atom": 0.00
}



{
  "formula": "NdHfSe2",
  "functional": "PBE-GGA",
  "state": "optimized geometry",
  "lattice_angstrom": [[1.873, 1.081, 9.142], [-1.873, 1.081, 9.142], [0.000, -2.163, 9.142]],
  "species": ["Nd", "Hf", "Se", "Se"],
  "fractional_positions": [[0.000, 0.000, 0.000], [0.500, 0.500, 0.500], [0.108, 0.108, 0.108], [0.892, 0.892, 0.892]],
  "e_above_lowest_polymorph_mev_per_atom": 282.8,
  "final_energy_ev_per_atom": -6.44,
  "spacegroup": "R-3m",
  "formation_energy_uncorrected_kj_per_mol_atoms": -98.0,
  "m_tot_mub_per_atom": 0.00
}



{
  "formula": "CaTePdN2",
  "functional": "PBE-GGA",
  "state": "optimized geometry",
  "lattice_angstrom": [[4.410, 0.000, 0.000], [0.000, 4.410, 0.000], [0.000, 0.000, 6.451]],
  "species": ["Ca", "Te", "Pd", "N", "N"],
  "fractional_positions": [[0.000, 0.000, 0.000], [0.000, 0.000, 0.500], [0.500, 0.500, 0.500], [0.000, 0.500, 0.000], [0.500, 0.000, 0.000]],
  "e_above_lowest_polymorph_mev_per_atom": 680.7,
  "final_energy_ev_per_atom": -3.99,
  "spacegroup": "P4/mmm",
  "formation_energy_uncorrected_kj_per_mol_atoms": 135.5,
  "m_tot_mub_per_atom": 0.93
}



{
  "formula": "CaTaTl4",
  "functional": "PBE-GGA",
  "state": "optimized geometry",
  "lattice_angstrom": [[0.000, 4.337, 4.337], [4.337, 0.000, 4.337], [4.337, 4.337, 0.000]],
  "species": ["Ca", "Ta", "Tl", "Tl", "Tl", "Tl"],
  "fractional_positions": [[0.000, 0.000, 0.000], [0.750, 0.750, 0.750], [0.375, 0.375, 0.375], [0.375, 0.375, 0.874], [0.375, 0.874, 0.375], [0.874, 0.375, 0.375]],
  "final_energy_ev_per_atom": -3.28,
  "spacegroup": "F-43m",
  "e_form_ev_per_atom": 0.6039,
  "m_tot_mub_per_atom": 0.32
}



{
  "formula": "Li2Tl3",
  "functional": "PBE-GGA",
  "state": "optimized geometry",
  "lattice_angstrom": [[4.840, 0.000, 0.000], [-2.420, 4.192, 0.000], [0.000, 0.000, 5.879]],
  "species": ["Li", "Li", "Tl", "Tl", "Tl"],
  "fractional_positions": [[0.333, 0.667, 0.357], [0.667, 0.333, 0.643], [0.000, 0.000, 0.500], [0.333, 0.667, 0.854], [0.667, 0.333, 0.146]],
  "e_above_lowest_polymorph_mev_per_atom": 39.5,
  "final_energy_ev_per_atom": -2.31,
  "spacegroup": "P-3m1",
  "e_form_ev_per_atom": -0.1198,
  "m_tot_mub_per_atom": 0.00
}



Repeat the fourth record exactly.
{
  "formula": "PuU2Ge",
  "functional": "PBE-GGA",
  "state": "optimized geometry",
  "lattice_angstrom": [[5.129, 0.000, 0.000], [0.000, 6.248, 0.000], [-2.937, 0.000, 10.398]],
  "species": ["Pu", "Pu", "Pu", "Pu", "U", "U", "U", "U", "U", "U", "U", "U", "Ge", "Ge", "Ge", "Ge"],
  "fractional_positions": [[0.173, 0.082, 0.121], [0.173, 0.918, 0.621], [0.827, 0.082, 0.379], [0.827, 0.918, 0.879], [0.143, 0.411, 0.606], [0.143, 0.589, 0.106], [0.433, 0.346, 0.383], [0.433, 0.654, 0.883], [0.567, 0.346, 0.117], [0.567, 0.654, 0.617], [0.857, 0.411, 0.894], [0.857, 0.589, 0.394], [0.323, 0.160, 0.862], [0.323, 0.840, 0.362], [0.677, 0.160, 0.638], [0.677, 0.840, 0.138]],
  "e_above_lowest_polymorph_mev_per_atom": 33.9,
  "final_energy_ev_per_atom": -10.51,
  "spacegroup": "P2/c",
  "e_form_ev_per_atom": -0.1320,
  "m_tot_mub_per_atom": 1.02
}